Entry from Alexandria via LeMat-Bulk: a geometry-optimized Ce5PuAg structure (PBE).

**ΔE_f**: 14 meV per atom
**Crystal system**: monoclinic
**Spin magnetization**: 0.0 μB per formula unit
**Energy**: -93.513 eV/cell

Unit cell a=6.1192 b=6.1192 c=10.9133 alpha=96.87 beta=107.35 gamma=104.77
Last column: nearest neighbours and their distance in Å.
Atoms (fractional coordinates):
Ce (0.2784, 0.9154, 0.8935)  1 Pu 2.45
Ce (0.4781, 0.6151, 0.3935)  1 Pu 2.45
Ce (0.2388, 0.9888, 0.2500)  2 Pu 2.70
Ag (0.1707, 0.4207, 0.7500)  5 Ce 3.05-3.22
Ce (0.2290, 0.4117, 0.0528)  1 Pu 2.45
Pu (0.5000, 0.0000, 0.5000)  6 Ce 2.45-2.70
Ce (0.7612, 0.0112, 0.7500)  2 Pu 2.70
Ce (0.8590, 0.1762, 0.4472)  1 Pu 2.45
Ce (0.7216, 0.0846, 0.1065)  1 Pu 2.45
Ce (0.1410, 0.8238, 0.5528)  1 Pu 2.45
Ce (0.7710, 0.5883, 0.9472)  1 Pu 2.45
Pu (0.0000, 0.0000, 0.0000)  6 Ce 2.45-2.70
Ce (0.5219, 0.3849, 0.6065)  1 Pu 2.45
Ag (0.8293, 0.5793, 0.2500)  5 Ce 3.05-3.22

---

Entry from Alexandria via LeMat-Bulk: a geometry-optimized Ce2Sb3Pd5 structure (PBE).

**Crystal system**: orthorhombic
**Spin magnetization**: 1.2 μB per formula unit
**Energy**: -115.643 eV/cell
**Energy relative to the elements, uncorrected**: -0.762 eV/atom

Unit cell a=4.5895 b=7.1819 c=12.9122 alpha=90.00 beta=100.24 gamma=90.00
Last column: nearest neighbours and their distance in Å.
Atoms (fractional coordinates):
Sb (0.3916, 0.0451, 0.7832)  4 Pd 2.70-2.92
Pd (0.3905, 0.4514, 0.7810)  3 Sb 2.70-2.92, 1 Pd 2.85
Pd (0.2790, 0.4955, 0.5580)  3 Sb 2.61-2.70, 1 Pd 2.85
Pd (0.7210, 0.9955, 0.4420)  3 Sb 2.61-2.70, 1 Pd 2.85
Ce (0.1744, 0.7435, 0.3489)  9 Pd 3.15-3.46, 6 Sb 3.18-3.51
Sb (0.2221, 0.1925, 0.4442)  7 Pd 2.61-2.77
Ce (0.4839, 0.7512, 0.9678)  8 Pd 3.13-3.50, 6 Sb 3.16-3.49
Ce (0.8256, 0.2435, 0.6511)  9 Pd 3.15-3.46, 6 Sb 3.18-3.51
Pd (0.8811, 0.7601, 0.7621)  2 Sb 2.67-2.74, 1 Pd 2.82
Ce (0.5161, 0.2512, 0.0322)  8 Pd 3.13-3.50, 6 Sb 3.16-3.49
Pd (0.7067, 0.4008, 0.4133)  4 Sb 2.70-2.77, 3 Pd 2.93-3.02
Pd (0.0500, 0.5678, 0.0999)  4 Sb 2.74-2.80, 1 Pd 2.82
Pd (0.6095, 0.9514, 0.2190)  3 Sb 2.70-2.92, 1 Pd 2.85
Sb (0.6084, 0.5451, 0.2168)  4 Pd 2.70-2.92
Pd (0.9500, 0.0678, 0.9001)  4 Sb 2.74-2.80, 1 Pd 2.82
Sb (0.7779, 0.6925, 0.5558)  7 Pd 2.61-2.77
Pd (0.1189, 0.2601, 0.2379)  2 Sb 2.67-2.74, 1 Pd 2.82
Sb (0.0535, 0.9569, 0.1070)  5 Pd 2.70-2.80
Pd (0.2933, 0.9008, 0.5867)  4 Sb 2.70-2.77, 3 Pd 2.93-3.02
Sb (0.9465, 0.4569, 0.8930)  5 Pd 2.70-2.80

---

Entry from Alexandria via LeMat-Bulk: a geometry-optimized FePC2 structure (PBE).

**ΔE_f**: 482 meV per atom
**Crystal system**: orthorhombic
**Spin magnetization**: 1.1 μB per formula unit
**Energy**: -30.394 eV/cell

Unit cell a=2.7851 b=2.6337 c=5.1521 alpha=90.00 beta=90.00 gamma=90.00
Last column: nearest neighbours and their distance in Å.
Atoms (fractional coordinates):
Fe (0.5000, 0.0000, 0.1252)  4 C 2.09, 2 P 2.26
C (0.0000, 0.5000, 0.9655)  1 C 1.42
P (0.5000, 0.5000, 0.4820)  2 C 1.76
C (0.0000, 0.5000, 0.6906)  1 C 1.42